Entry from Alexandria: Y4MgCu2 after structural relaxation (PBE-GGA).

Results
- space-group type = No. 166
- distance to the lowest polymorph of the same formula (eV per atom) = 0.0920
- magnetic moment (μB/f.u.) = 0.00
- total energy (eV/atom) = -5.049
- formation energy from the elements (eV per atom) = 0.04

Cell: 4.991 4.991 9.054 Å, 74.00 74.00 60.00°
Sites, in units of the cell vectors:
1 Y 0.884 0.884 0.348
2 Y 0.116 0.116 0.652
3 Y 0.707 0.707 0.879
4 Y 0.293 0.293 0.121
5 Cu 0.598 0.598 0.207
6 Cu 0.402 0.402 0.793
7 Mg 0.500 0.500 0.500